(1)
{"formula": "ScCd2Bi", "functional": "GGA-PBE", "state": "optimized geometry", "lattice_angstrom": [[-3.519, -3.778, -6.773], [3.428, -7.429, 2.363], [-2.436, -6.205, -0.627]], "species": ["Cd", "Cd", "Cd", "Cd", "Bi", "Bi", "Sc", "Sc"], "fractional_positions": [[0.875, 0.878, 0.750], [0.628, 0.125, 0.250], [0.375, 0.372, 0.750], [0.122, 0.625, 0.250], [0.750, 0.250, 0.500], [0.000, 0.000, 0.000], [0.250, 0.750, 0.500], [0.500, 0.500, 0.000]], "delta_e_f_ev_per_atom": -0.0661, "dos_ef_per_ev_fu": 0.8, "dft_energy_ev_per_atom": -3.077, "mass_density_g_cm3": 7.49}

=====

(2)
{"formula": "AlRh2Cl", "functional": "GGA-PBE", "state": "optimized geometry", "lattice_angstrom": [[-1.453, -2.978, 2.978], [-2.625, -3.355, -1.304], [1.577, -4.166, -0.065]], "species": ["Al", "Rh", "Rh", "Cl"], "fractional_positions": [[0.500, 0.500, 0.500], [0.750, 0.750, 0.750], [0.000, 0.000, 0.000], [0.250, 0.250, 0.250]], "dos_ef_per_ev_fu": 5.1, "dft_energy_ev_per_atom": -4.818, "formation_energy_uncorrected_ev_per_atom": 0.255, "mass_density_g_cm3": 7.12}

=====

(3)
{"formula": "AcCeTh2As4", "functional": "GGA-PBE", "state": "optimized geometry", "lattice_angstrom": [[-1.045, 4.158, -0.495], [-2.900, 0.095, 6.923], [5.319, 1.919, 4.893]], "species": ["As", "As", "As", "As", "Ce", "Th", "Th", "Ac"], "fractional_positions": [[0.500, 0.244, 0.745], [0.000, 0.763, 0.738], [0.000, 0.237, 0.262], [0.500, 0.756, 0.255], [0.000, 0.500, 0.500], [0.000, 0.000, 0.000], [0.500, 0.000, 0.500], [0.500, 0.500, 0.000]], "delta_e_f_ev_per_atom": -1.4167, "dos_ef_per_ev_fu": 9.2, "dft_energy_ev_per_atom": -6.852, "mass_density_g_cm3": 8.22}

=====

(4)
{"formula": "Pm6Pr16Nd7", "functional": "GGA-PBE", "state": "optimized geometry", "lattice_angstrom": [[-1.701, -2.951, 11.002], [7.325, 3.599, 8.126], [-3.330, 7.945, 7.644]], "species": ["Pr", "Pr", "Pr", "Pr", "Pr", "Pr", "Pr", "Pr", "Pr", "Pr", "Pr", "Pr", "Pr", "Pr", "Pr", "Pr", "Nd", "Nd", "Nd", "Nd", "Nd", "Nd", "Nd", "Pm", "Pm", "Pm", "Pm", "Pm", "Pm"], "fractional_positions": [[0.955, 0.348, 0.348], [0.874, 0.874, 0.378], [0.045, 0.652, 0.652], [0.652, 0.652, 0.652], [0.652, 0.652, 0.045], [0.126, 0.622, 0.126], [0.622, 0.126, 0.126], [0.126, 0.126, 0.622], [0.348, 0.348, 0.348], [0.874, 0.378, 0.874], [0.348, 0.348, 0.955], [0.126, 0.126, 0.126], [0.652, 0.045, 0.652], [0.874, 0.874, 0.874], [0.378, 0.874, 0.874], [0.348, 0.955, 0.348], [0.500, 0.000, 0.500], [0.000, 0.500, 0.000], [0.500, 0.500, 0.000], [0.000, 0.000, 0.000], [0.500, 0.000, 0.000], [0.000, 0.000, 0.500], [0.000, 0.500, 0.500], [0.731, 0.731, 0.269], [0.731, 0.269, 0.269], [0.731, 0.269, 0.731], [0.269, 0.731, 0.269], [0.269, 0.731, 0.731], [0.269, 0.269, 0.731]], "delta_e_f_ev_per_atom": 0.2043, "dos_ef_per_ev_fu": 40.1, "dft_energy_ev_per_atom": -4.566, "mass_density_g_cm3": 6.36}

=====

(5)
{"formula": "Na6Au", "functional": "GGA-PBE", "state": "optimized geometry", "lattice_angstrom": [[5.157, 0.000, 1.770], [2.275, 4.629, 1.770], [-0.054, -0.034, 8.555]], "species": ["Na", "Na", "Na", "Na", "Na", "Na", "Au"], "fractional_positions": [[0.707, 0.707, 0.878], [0.575, 0.575, 0.274], [0.869, 0.869, 0.392], [0.293, 0.293, 0.122], [0.425, 0.425, 0.726], [0.131, 0.131, 0.608], [0.000, 0.000, 0.000]], "delta_e_f_ev_per_atom": -0.0750, "dos_ef_per_ev_fu": 3.0, "dft_energy_ev_per_atom": -1.674, "mass_density_g_cm3": 2.71}

=====

(6)
{"formula": "Ba2Sn2Hg15", "functional": "GGA-PBE", "state": "optimized geometry", "lattice_angstrom": [[8.253, 0.235, 0.209], [1.304, 8.152, 0.209], [1.304, 1.144, 8.074]], "species": ["Hg", "Hg", "Hg", "Hg", "Hg", "Hg", "Hg", "Hg", "Hg", "Hg", "Hg", "Hg", "Hg", "Hg", "Hg", "Ba", "Ba", "Sn", "Sn"], "fractional_positions": [[0.295, 0.705, 0.000], [0.618, 0.618, 0.164], [0.500, 0.000, 0.000], [0.164, 0.618, 0.618], [0.836, 0.382, 0.382], [0.382, 0.382, 0.836], [0.705, 0.000, 0.295], [0.000, 0.500, 0.000], [0.295, 0.000, 0.705], [0.382, 0.836, 0.382], [0.000, 0.705, 0.295], [0.705, 0.295, 0.000], [0.618, 0.164, 0.618], [0.000, 0.000, 0.500], [0.000, 0.295, 0.705], [0.685, 0.685, 0.685], [0.315, 0.315, 0.315], [0.909, 0.909, 0.909], [0.091, 0.091, 0.091]], "delta_e_f_ev_per_atom": -0.1606, "dos_ef_per_ev_fu": 10.0, "dft_energy_ev_per_atom": -1.023, "mass_density_g_cm3": 10.89}

=====

(7)
{"formula": "Zr2MnAs", "functional": "GGA-PBE", "state": "optimized geometry", "lattice_angstrom": [[0.000, 3.303, 3.303], [3.303, 0.000, 3.303], [3.303, 3.303, 0.000]], "species": ["Zr", "Zr", "As", "Mn"], "fractional_positions": [[0.750, 0.750, 0.750], [0.250, 0.250, 0.250], [0.500, 0.500, 0.500], [0.000, 0.000, 0.000]], "delta_e_f_ev_per_atom": -0.2390, "dos_ef_per_ev_fu": 4.9, "dft_energy_ev_per_atom": -7.968, "mass_density_g_cm3": 7.19}

=====

(8)
{"formula": "Ca2Pt7", "functional": "GGA-PBE", "state": "optimized geometry", "lattice_angstrom": [[-4.588, 0.092, 2.892], [0.146, -0.902, 5.346], [0.132, 12.701, 4.890]], "species": ["Pt", "Pt", "Pt", "Pt", "Pt", "Pt", "Pt", "Pt", "Pt", "Pt", "Pt", "Pt", "Pt", "Pt", "Ca", "Ca", "Ca", "Ca"], "fractional_positions": [[0.500, 0.500, 0.000], [0.277, 0.277, 0.168], [0.389, 0.389, 0.834], [0.723, 0.723, 0.832], [0.500, 0.500, 0.500], [0.108, 0.613, 0.665], [0.387, 0.387, 0.335], [0.613, 0.108, 0.665], [0.892, 0.387, 0.335], [0.611, 0.611, 0.166], [0.387, 0.892, 0.335], [0.500, 0.000, 0.000], [0.000, 0.500, 0.000], [0.613, 0.613, 0.665], [0.050, 0.050, 0.849], [0.852, 0.852, 0.445], [0.950, 0.950, 0.151], [0.148, 0.148, 0.555]], "delta_e_f_ev_per_atom": -0.6873, "dos_ef_per_ev_fu": 5.9, "dft_energy_ev_per_atom": -5.830, "mass_density_g_cm3": 14.23}